(1)
# LaNb2Ir | the Alexandria database | PBE | relaxed
# Relative energy among the computed polymorphs   216 meV/atom
# Formation enthalpy at 0 K   97 kJ/mol of formula units
# M_tot   0.00 μB/cell
# Space-group type   I-42d (122)
data_LaNb2Ir
_symmetry_space_group_name_H-M 'P 1'
_symmetry_Int_Tables_number 1
_symmetry_space_group_name_Hall 'P 1'
_cell_length_a 7.990
_cell_length_b 7.990
_cell_length_c 5.743
_cell_angle_alpha 90.00
_cell_angle_beta 90.00
_cell_angle_gamma 90.00
loop_
_atom_site_label
_atom_site_fract_x
_atom_site_fract_y
_atom_site_fract_z
La1 0.000 0.000 0.000
La2 0.000 0.500 0.250
La3 0.500 0.000 0.750
La4 0.500 0.500 0.500
Nb1 0.189 0.250 0.625
Nb2 0.250 0.689 0.875
Nb3 0.250 0.811 0.375
Nb4 0.311 0.250 0.125
Nb5 0.689 0.750 0.125
Nb6 0.750 0.189 0.375
Nb7 0.750 0.311 0.875
Nb8 0.811 0.750 0.625
Ir1 0.000 0.000 0.500
Ir2 0.000 0.500 0.750
Ir3 0.500 0.000 0.250
Ir4 0.500 0.500 0.000

=====

(2)
# LaNbIr2 | the Alexandria database | PBE | relaxed
# Relative energy among the computed polymorphs   88 meV/atom
# Formation enthalpy at 0 K   -19 kJ/mol of formula units
# M_tot   0.00 μB/cell
# Space-group type   I-42d (122)
data_LaNbIr2
_symmetry_space_group_name_H-M 'P 1'
_symmetry_Int_Tables_number 1
_symmetry_space_group_name_Hall 'P 1'
_cell_length_a 7.477
_cell_length_b 7.477
_cell_length_c 6.051
_cell_angle_alpha 90.00
_cell_angle_beta 90.00
_cell_angle_gamma 90.00
loop_
_atom_site_label
_atom_site_fract_x
_atom_site_fract_y
_atom_site_fract_z
La1 0.000 0.000 0.000
La2 0.000 0.500 0.250
La3 0.500 0.000 0.750
La4 0.500 0.500 0.500
Nb1 0.000 0.000 0.500
Nb2 0.000 0.500 0.750
Nb3 0.500 0.000 0.250
Nb4 0.500 0.500 0.000
Ir1 0.211 0.250 0.625
Ir2 0.250 0.711 0.875
Ir3 0.250 0.789 0.375
Ir4 0.289 0.250 0.125
Ir5 0.711 0.750 0.125
Ir6 0.750 0.211 0.375
Ir7 0.750 0.289 0.875
Ir8 0.789 0.750 0.625